1.
Compound: Rb2Na2Co
Source: Alexandria via LeMat-Bulk
Functional: PBE
Structure: optimized geometry

```
Rb2Na2Co
1.0
8.300 0.000 0.000
0.000 8.300 0.000
0.000 0.000 6.489
Na Co Rb
4 2 4
Direct
0.348 0.848 0.000
0.848 0.652 0.000
0.652 0.152 0.000
0.152 0.348 0.000
0.000 0.000 0.000
0.500 0.500 0.000
0.189 0.689 0.500
0.689 0.811 0.500
0.811 0.311 0.500
0.311 0.189 0.500
```

Output
ΔE_f = 619.6 meV per atom
N(E_F) = 7.55 states/eV per cell

=====

2.
Compound: RbNaCo3
Source: Alexandria via LeMat-Bulk
Functional: PBE
Structure: optimized geometry

```
RbNaCo3
1.0
-2.717 3.255 -2.573
-4.148 -2.193 1.607
-0.083 3.032 3.924
Na Co Rb
1 3 1
Direct
0.500 0.500 0.500
0.000 0.500 0.000
0.000 0.000 0.500
0.500 0.000 0.000
0.000 0.000 0.000
```

Output
ΔE_f = 2390.0 meV per atom
N(E_F) = 12.05 states/eV per cell

=====

3.
Compound: RbNa2CoTc
Source: Alexandria via LeMat-Bulk
Functional: PBE
Structure: optimized geometry

```
RbNa2CoTc
1.0
-0.539 5.335 -0.863
-3.454 0.260 3.763
3.970 0.979 3.575
Na Co Tc Rb
2 1 1 1
Direct
0.000 0.000 0.500
0.500 0.000 0.000
0.500 0.500 0.500
0.000 0.500 0.000
0.000 0.000 0.000
```

Output
ΔE_f = 2130.2 meV per atom
N(E_F) = 5.54 states/eV per cell

=====

4.
Compound: RbNaZn2Co
Source: Alexandria via LeMat-Bulk
Functional: PBE
Structure: optimized geometry

```
RbNaZn2Co
1.0
4.814 0.000 0.000
0.000 5.677 0.000
0.000 0.000 4.814
Na Zn Co Rb
1 2 1 1
Direct
0.500 0.500 0.500
0.000 0.000 0.500
0.500 0.000 0.000
0.000 0.000 0.000
0.000 0.500 0.000
```

Output
ΔE_f = 467.7 meV per atom
N(E_F) = 2.55 states/eV per cell

=====

5.
Compound: NaCoRe2
Source: Alexandria via LeMat-Bulk
Functional: PBE
Structure: optimized geometry

```
NaCoRe2
1.0
7.316 0.000 0.000
0.000 7.316 0.000
3.658 3.658 2.442
Re Co Na
4 2 2
Direct
0.691 0.125 0.250
0.059 0.625 0.250
0.375 0.309 0.750
0.875 0.941 0.750
0.000 0.000 0.000
0.750 0.250 0.500
0.500 0.500 0.000
0.250 0.750 0.500
```

Output
ΔE_f = 1184.7 meV per atom
N(E_F) = 8.15 states/eV per cell

=====

6.
Compound: NaCoRe3
Source: Alexandria via LeMat-Bulk
Functional: PBE
Structure: optimized geometry

```
NaCoRe3
1.0
-2.034 -3.695 1.146
0.219 -1.402 -4.134
3.863 -1.867 0.837
Re Co Na
3 1 1
Direct
0.000 0.500 0.000
0.000 0.000 0.500
0.500 0.000 0.000
0.500 0.500 0.500
0.000 0.000 0.000
```

Output
ΔE_f = 3323.5 meV per atom
N(E_F) = 8.03 states/eV per cell

=====

7.
Compound: NaCoRe2
Source: Alexandria via LeMat-Bulk
Functional: PBE
Structure: optimized geometry

```
NaCoRe2
1.0
1.537 -3.380 -2.152
-2.218 -3.673 -0.095
-1.893 -1.270 -3.636
Re Co Na
2 1 1
Direct
0.250 0.250 0.250
0.750 0.750 0.750
0.500 0.500 0.500
0.000 0.000 0.000
```

Output
ΔE_f = 1259.4 meV per atom
N(E_F) = 12.09 states/eV per cell

=====

8.
Compound: NaCo3Re
Source: Alexandria via LeMat-Bulk
Functional: PBE
Structure: optimized geometry

```
NaCo3Re
1.0
4.523 0.000 0.000
0.000 4.523 0.000
0.000 0.000 4.523
Re Co Na
1 3 1
Direct
0.000 0.000 0.000
0.000 0.500 0.000
0.000 0.000 0.500
0.500 0.000 0.000
0.500 0.500 0.500
```

Output
ΔE_f = 1234.7 meV per atom
N(E_F) = 7.00 states/eV per cell